# CuHg2PbN

An optimized crystal structure of CuHg2PbN (PBE, the Alexandria database).

Cell lengths 4.895, 4.895, 5.273 Å; angles 90.00, 90.00, 90.00 degrees
Space group P4/mmm (No. 123)
Inequivalent atoms, fractional coordinates:
Cu 0.000 0.000 0.000
Hg 0.000 0.500 0.000
Pb 0.000 0.000 0.500
N 0.500 0.500 0.500

Formation energy (no corrections) ... 1.27 eV/atom
Calculated volume ... 25.27 Å³/atom
Magnetization ... 0.0 μB per formula unit